1.
A relaxed structure of K2HgSBr, computed with PBE.

Cell: 6.1295 6.1295 5.1359 Å, 90.00 90.00 90.00°
Sites, in units of the cell vectors:
1 Br 0.5000 0.5000 0.5000
2 Hg 0.0000 0.0000 0.5000
3 K 0.5000 0.0000 0.0000
4 K 0.0000 0.5000 0.0000
5 S 0.0000 0.0000 0.0000

Its space group is No. 123.

2.
A relaxed structure of KHgSbBr6, computed with PBE.

Cell: 7.3705 7.3705 7.2941 Å, 90.02 89.98 59.96°
Sites, in units of the cell vectors:
1 K 0.9999 0.0000 0.0000
2 Sb 0.6666 0.6666 0.5000
3 Br 0.3707 0.6317 0.2750
4 Br 0.9978 0.3707 0.2746
5 Br 0.6315 0.9977 0.2749
6 Br 0.6316 0.3707 0.7250
7 Br 0.9977 0.6315 0.7251
8 Br 0.3707 0.9979 0.7254
9 Hg 0.3333 0.3333 0.5000

Its space group is No. 149.

3.
A relaxed structure of KScHgBr6, computed with PBE.

Cell: 7.1945 7.1945 14.4335 Å, 90.00 90.00 120.00°
Sites, in units of the cell vectors:
1 Sc 0.3333 0.6667 0.7500
2 Sc 0.6667 0.3333 0.2500
3 Br 0.3823 0.3630 0.3596
4 Br 0.6370 0.0194 0.3596
5 Br 0.9806 0.6177 0.3596
6 Br 0.3823 0.0194 0.1404
7 Br 0.9806 0.3630 0.1404
8 Br 0.0194 0.6370 0.8596
9 Br 0.6177 0.6370 0.6404
10 Br 0.3630 0.3823 0.8596
11 Br 0.6177 0.9806 0.8596
12 Br 0.6370 0.6177 0.1404
13 Br 0.3630 0.9806 0.6404
14 Br 0.0194 0.3823 0.6404
15 K 0.0000 0.0000 0.0000
16 K 0.0000 0.0000 0.5000
17 Hg 0.6667 0.3333 0.7500
18 Hg 0.3333 0.6667 0.2500

Its space group is No. 163.

| no. | DFT total energy (eV/f.u.) | uncorrected formation energy (eV/atom) |
| --- | --- | --- |
| 1 | -13.17 | -0.975 |
| 2 | -22.73 | -0.797 |
| 3 | -29.33 | -1.284 |